A relaxed LiGeBi2 crystal, computed with PBE.

```
8
Lattice="6.746 0.000 0.000 0.000 6.746 0.000 3.373 3.373 5.763" Properties=species:S:1:pos:R:3 pbc="T T T"
Ge 0.000 0.000 0.000
Bi 5.059 5.024 4.322
Bi 1.651 5.059 1.441
Li 3.373 6.746 2.882
Bi 8.432 8.467 4.322
Ge 6.746 3.373 2.882
Li 3.373 3.373 0.000
Bi 5.095 1.686 1.441
```

formation enthalpy at 0 K: 105 meV per atom
total energy: -3.468 eV/atom
V: 32.78 Å³ per atom
symmetry: I-42d, No. 122
DOS(E_F): 3.35 states/eV/cell